[1]
This record from the Alexandria database describes a relaxed Zn2NiPdS crystal. The functional is PBE.

Cell: 4.784 4.784 4.583 Å, 90.00 90.00 90.00°
Space group P4/mmm (No. 123)
Unique sites:
Zn 0.000 0.500 0.000 x2
Ni 0.000 0.000 0.500 x1
Pd 0.500 0.500 0.000 x1
S 0.500 0.500 0.500 x1

## Properties
raw formation energy: 0.659 eV/atom
total magnetic moment: 0.9 μB per formula unit
theoretical density: 5.19 Mg/m³
Fermi-level density of states: 1.20 states/eV per atom

***

[2]
This record from the Alexandria database describes a relaxed YAl2MoP crystal. The functional is PBE.

Cell: 4.796 4.796 5.268 Å, 90.00 90.00 90.00°
Space group P4/mmm (No. 123)
Unique sites:
Y 0.000 0.000 0.000 x1
Al 0.000 0.500 0.500 x2
Mo 0.000 0.000 0.500 x1
P 0.500 0.500 0.000 x1

## Properties
total magnetic moment: 0.0 μB per formula unit
theoretical density: 3.70 Mg/m³
DFT formation energy: 0.678 eV per atom
Fermi-level density of states: 1.10 states/eV per atom

***

[3]
This record from the Alexandria database describes a relaxed RbPm2Cd crystal. The functional is PBE.

Cell: 3.7289 3.7289 38.4013 Å, 90.00 90.00 120.00°
Space group R-3m (No. 166, hexagonal axes)
Unique sites:
Rb 0.0000 0.0000 0.0000 x3
Pm 0.0000 0.0000 0.1027 x6
Cd 0.0000 0.0000 0.5000 x3

## Properties
total magnetic moment: 0.0 μB per formula unit
theoretical density: 5.26 Mg/m³
DFT formation energy: 0.212 eV per atom
Fermi-level density of states: 1.43 states/eV per atom

***

[4]
This record from the Alexandria database describes a relaxed Nb2AgHg crystal. The functional is PBE.

Cell: 7.770 7.770 5.350 Å, 90.00 90.00 90.00°
Space group I-42d (No. 122)
Unique sites:
Nb 0.247 0.750 0.125 x8
Ag 0.000 0.000 0.000 x4
Hg 0.000 0.000 0.500 x4

## Properties
total magnetic moment: 0.0 μB per formula unit
theoretical density: 10.16 Mg/m³
DFT formation energy: 0.699 eV per atom
Fermi-level density of states: 0.87 states/eV per atom

***

[5]
This record from the Alexandria database describes a relaxed Na2ScBO4 crystal. The functional is PBE.

Cell: 5.787 5.787 5.106 Å, 90.00 90.00 90.00°
Space group I-42m (No. 121)
Unique sites:
Na 0.000 0.500 0.000 x4
Sc 0.000 0.000 0.000 x2
B 0.000 0.000 0.500 x2
O 0.148 0.148 0.319 x8

## Properties
raw formation energy: -2.253 eV/atom
total magnetic moment: 0.0 μB per formula unit
theoretical density: 3.22 Mg/m³
Fermi-level density of states: 0.00 states/eV per atom

***

[6]
This record from the Alexandria database describes a relaxed DyTmTlIr crystal. The functional is PBE.

Cell: 7.162 7.162 7.162 Å, 90.00 90.00 90.00°
Space group F-43m (No. 216)
Unique sites:
Dy 0.000 0.000 0.000 x4
Tm 0.000 0.000 0.500 x4
Tl 0.250 0.250 0.250 x4
Ir 0.250 0.250 0.750 x4

## Properties
polymorph energy (0 for the lowest one): 123.0 meV/atom
total magnetic moment: 0.0 μB per formula unit
theoretical density: 13.16 Mg/m³
DFT formation energy: -0.504 eV per atom
Fermi-level density of states: 0.37 states/eV per atom

***

[7]
This record from the Alexandria database describes a relaxed Nd2Y3Pb4 crystal. The functional is PBE.

Cell: 7.191 17.361 9.061 Å, 90.00 90.00 90.00°
Space group Cmce (No. 64)
Unique sites:
Nd 0.000 0.111 0.090 x8
Y 0.000 0.000 0.500 x4
Y 0.250 0.206 0.750 x8
Pb 0.000 0.186 0.445 x8
Pb 0.250 0.030 0.750 x8

## Properties
polymorph energy (0 for the lowest one): 146.0 meV/atom
total magnetic moment: 0.0 μB per formula unit
theoretical density: 8.13 Mg/m³
DFT formation energy: -0.470 eV per atom
Fermi-level density of states: 0.52 states/eV per atom

***

[8]
This record from the Alexandria database describes a relaxed TcSO crystal. The functional is PBE.

Cell: 5.358 2.966 5.976 Å, 90.00 91.69 90.00°
Space group Pm (No. 6)
Unique sites:
Tc 0.000 0.000 0.000 x1
Tc 0.415 0.500 0.007 x1
S 0.120 0.500 0.722 x1
S 0.619 0.000 0.761 x1
O 0.287 0.000 0.232 x1
O 0.788 0.500 0.153 x1

## Properties
polymorph energy (0 for the lowest one): 101.2 meV/atom
raw formation energy: -0.813 eV/atom
total magnetic moment: 0.0 μB per formula unit
theoretical density: 5.11 Mg/m³
Fermi-level density of states: 0.24 states/eV per atom

***

[9]
This record from the Alexandria database describes a relaxed LaCr3Mo crystal. The functional is PBE.

Cell: 4.729 4.729 4.729 Å, 90.00 90.00 90.00°
Space group Pm-3m (No. 221)
Unique sites:
La 0.000 0.000 0.000 x1
Cr 0.000 0.500 0.500 x3
Mo 0.500 0.500 0.500 x1

## Properties
polymorph energy (0 for the lowest one): 0.0 meV/atom
total magnetic moment: 7.1 μB per formula unit
theoretical density: 6.14 Mg/m³
DFT formation energy: 0.856 eV per atom
Fermi-level density of states: 0.89 states/eV per atom

***

[10]
This record from the Alexandria database describes a relaxed NaAsN3 crystal. The functional is PBE.

Cell: 3.810 3.810 3.810 Å, 90.00 90.00 90.00°
Space group Pm-3m (No. 221)
Unique sites:
Na 0.000 0.000 0.000 x1
As 0.500 0.500 0.500 x1
N 0.000 0.500 0.500 x3

## Properties
raw formation energy: 1.278 eV/atom
total magnetic moment: 2.3 μB per formula unit
theoretical density: 4.20 Mg/m³
Fermi-level density of states: 0.56 states/eV per atom

***

[11]
This record from the Alexandria database describes a relaxed SrBeF crystal. The functional is PBE.

Cell: 15.085 3.874 4.034 Å, 90.00 90.47 90.00°
Space group Cm (No. 8)
Unique sites:
Sr 0.000 0.000 0.000 x2
Sr 0.221 0.500 0.501 x2
Be 0.328 0.000 0.003 x2
Be 0.385 0.000 0.504 x2
F 0.110 0.000 0.495 x2
F 0.492 0.000 0.516 x2

## Properties
polymorph energy (0 for the lowest one): 21.2 meV/atom
raw formation energy: -1.495 eV/atom
total magnetic moment: 0.3 μB per formula unit
theoretical density: 3.26 Mg/m³
Fermi-level density of states: 0.33 states/eV per atom

***

[12]
This record from the Alexandria database describes a relaxed GeBCl2 crystal. The functional is PBE.

Cell: 9.140 9.140 9.140 Å, 90.00 90.00 90.00°
Space group Fd-3m (No. 227, origin choice 2)
Unique sites:
Ge 0.125 0.125 0.125 x8
B 0.125 0.125 0.625 x8
Cl 0.000 0.000 0.500 x16

## Properties
polymorph energy (0 for the lowest one): 391.1 meV/atom
raw formation energy: 0.793 eV/atom
total magnetic moment: 0.0 μB per formula unit
theoretical density: 2.69 Mg/m³
Fermi-level density of states: 0.81 states/eV per atom

***

[13]
This record from the Alexandria database describes a relaxed Mg2BeTe crystal. The functional is PBE.

Cell: 3.684 3.684 6.065 Å, 90.00 90.00 90.00°
Space group P4/mmm (No. 123)
Unique sites:
Mg 0.000 0.000 0.229 x2
Be 0.500 0.500 0.000 x1
Te 0.500 0.500 0.500 x1

## Properties
polymorph energy (0 for the lowest one): 106.5 meV/atom
raw formation energy: 0.119 eV/atom
total magnetic moment: 0.0 μB per formula unit
theoretical density: 3.74 Mg/m³
Fermi-level density of states: 0.30 states/eV per atom

***

[14]
This record from the Alexandria database describes a relaxed HPtPb2 crystal. The functional is PBE.

Cell: 6.815 6.815 6.815 Å, 90.00 90.00 90.00°
Space group Fm-3m (No. 225)
Unique sites:
H 0.000 0.000 0.000 x4
Pt 0.000 0.000 0.500 x4
Pb 0.250 0.250 0.250 x8

## Properties
polymorph energy (0 for the lowest one): 277.6 meV/atom
total magnetic moment: 0.0 μB per formula unit
theoretical density: 12.81 Mg/m³
Fermi-level density of states: 0.62 states/eV per atom

***

[15]
This record from the Alexandria database describes a relaxed K2Tl12Bi crystal. The functional is PBE.

Cell: 7.063 7.063 21.314 Å, 90.00 90.00 90.00°
Space group P4/nbm (No. 125, origin choice 2)
Unique sites:
K 0.250 0.750 0.235 x4
Tl 0.000 0.000 0.399 x8
Tl 0.084 0.584 0.063 x8
Tl 0.250 0.250 0.154 x4
Tl 0.250 0.250 0.301 x4
Bi 0.250 0.750 0.500 x2

## Properties
total magnetic moment: 0.0 μB per formula unit
theoretical density: 8.56 Mg/m³
DFT formation energy: 0.000 eV per atom
Fermi-level density of states: 0.55 states/eV per atom

***

[16]
This record from the Alexandria database describes a relaxed CdIn2Sb2Se crystal. The functional is PBE.

Cell: 13.717 7.927 7.541 Å, 90.00 90.00 90.00°
Space group Cmc2_1 (No. 36)
Unique sites:
Cd 0.000 0.159 0.000 x4
In 0.165 0.330 0.476 x8
Sb 0.163 0.330 0.854 x8
Se 0.000 0.165 0.366 x4

## Properties
raw formation energy: -0.255 eV/atom
total magnetic moment: 0.0 μB per formula unit
theoretical density: 5.38 Mg/m³
Fermi-level density of states: 0.13 states/eV per atom

***

[17]
This record from the Alexandria database describes a relaxed RbBa2DyI8 crystal. The functional is PBE.

Cell: 7.620 7.896 10.538 Å, 90.01 90.04 90.28°
Space group P-1 (No. 2)
Unique sites:
Rb 0.000 0.000 0.000 x1
Ba 0.500 0.500 0.256 x2
Dy 0.000 0.000 0.500 x1
I 0.231 0.854 0.293 x2
I 0.231 0.855 0.707 x2
I 0.232 0.325 0.500 x2
I 0.248 0.390 0.000 x2

## Properties
raw formation energy: -1.567 eV/atom
total magnetic moment: 0.0 μB per formula unit
theoretical density: 4.03 Mg/m³
Fermi-level density of states: 0.00 states/eV per atom

***

[18]
This record from the Alexandria database describes a relaxed Dy3Ho3Sc crystal. The functional is PBE.

Cell: 9.4238 9.4238 5.5632 Å, 90.00 90.00 120.00°
Space group P6_3/m (No. 176)
Unique sites:
Dy 0.0967 0.6187 0.2500 x6
Ho 0.0511 0.8100 0.7500 x6
Sc 0.3333 0.6667 0.7500 x2

## Properties
polymorph energy (0 for the lowest one): 0.0 meV/atom
total magnetic moment: 0.0 μB per formula unit
theoretical density: 7.97 Mg/m³
DFT formation energy: 0.018 eV per atom
Fermi-level density of states: 2.12 states/eV per atom

***

[19]
This record from the Alexandria database describes a relaxed Ba2Mg6AgHg crystal. The functional is PBE.

Cell: 7.557 7.565 10.703 Å, 90.00 90.00 90.00°
Space group Immm (No. 71)
Unique sites:
Ba 0.000 0.000 0.250 x4
Mg 0.000 0.500 0.246 x4
Mg 0.245 0.254 0.000 x8
Ag 0.000 0.500 0.000 x2
Hg 0.000 0.500 0.500 x2

## Properties
total magnetic moment: 0.0 μB per formula unit
theoretical density: 3.96 Mg/m³
DFT formation energy: -0.079 eV per atom
Fermi-level density of states: 0.73 states/eV per atom

***

[20]
This record from the Alexandria database describes a relaxed NaGePb crystal. The functional is PBE.

Cell: 5.1045 5.1045 3.3962 Å, 90.00 90.00 120.00°
Space group P3m1 (No. 156)
Unique sites:
Na 0.0000 0.0000 0.0000 x1
Ge 0.6667 0.3333 0.6304 x1
Pb 0.3333 0.6667 0.4262 x1

## Properties
polymorph energy (0 for the lowest one): 81.0 meV/atom
total magnetic moment: 0.0 μB per formula unit
theoretical density: 6.56 Mg/m³
DFT formation energy: 0.007 eV per atom
Fermi-level density of states: 0.27 states/eV per atom